1.
# HfBiN2O

HfBiN2O after structural relaxation (PBE, the Alexandria database).

Lattice parameters (Å, degrees): 4.229 4.229 4.065 90.00 90.00 90.00
Atoms (fractional coordinates):
1 N 0.500 0.000 0.000
2 Bi 0.500 0.500 0.500
3 Hf 0.000 0.000 0.000
4 O 0.000 0.000 0.500
5 N 0.000 0.500 0.000

- E_form (uncorrected): -0.588 eV per atom
- SG: P4/mmm, No. 123
- DFT total energy: -7.6768 eV per atom
- D(E_F): 3.0 states/eV per cell


2.
# HfBiOs2N

HfBiOs2N after structural relaxation (PBE, the Alexandria database).

Lattice parameters (Å, degrees): 5.025 4.191 5.025 90.00 90.00 90.00
Each line ends with the local moment (μB).
Atoms (fractional coordinates):
1 Os 0.000 0.000 0.500  0.69
2 Hf 0.500 0.500 0.500  -0.16
3 N 0.000 0.500 0.000  0.64
4 Bi 0.000 0.000 0.000  -0.03
5 Os 0.500 0.000 0.000  0.63

- E_form (uncorrected): 2.282 eV per atom
- SG: P4/mmm, No. 123
- DFT total energy: -6.6415 eV per atom
- D(E_F): 2.4 states/eV per cell


3.
# HfPaBi2N

HfPaBi2N after structural relaxation (PBE, the Alexandria database).

Lattice parameters (Å, degrees): 3.995 3.995 14.500 90.00 90.00 90.00
Atoms (fractional coordinates):
1 Pa 0.000 0.500 0.421
2 Bi 0.500 0.000 0.290
3 Bi 0.500 0.000 0.857
4 Pa 0.500 0.000 0.579
5 Bi 0.000 0.500 0.710
6 Bi 0.000 0.500 0.143
7 N 0.000 0.000 0.500
8 Hf 0.500 0.000 0.067
9 N 0.500 0.500 0.500
10 Hf 0.000 0.500 0.933

- E_form (uncorrected): -0.768 eV per atom
- SG: P4/nmm, No. 129
- DFT total energy: -7.8758 eV per atom
- D(E_F): 4.8 states/eV per cell


4.
# Hf2BiPdN

Hf2BiPdN after structural relaxation (PBE, the Alexandria database).

Lattice parameters (Å, degrees): 5.255 3.770 5.255 90.00 90.00 90.00
Atoms (fractional coordinates):
1 N 0.000 0.500 0.000
2 Pd 0.000 0.000 0.000
3 Bi 0.500 0.500 0.500
4 Hf 0.000 0.000 0.500
5 Hf 0.500 0.000 0.000

- E_form (uncorrected): 0.533 eV per atom
- SG: P4/mmm, No. 123
- DFT total energy: -6.9285 eV per atom
- D(E_F): 3.8 states/eV per cell


5.
# Pm2HfBi2N2

Pm2HfBi2N2 after structural relaxation (PBE, the Alexandria database).

Lattice parameters (Å, degrees): 4.258 4.258 9.003 103.68 103.68 90.00
Atoms (fractional coordinates):
1 N 0.500 0.000 0.000
2 Bi 0.191 0.191 0.382
3 N 0.000 0.500 0.000
4 Pm 0.404 0.404 0.809
5 Hf 0.000 0.000 0.000
6 Pm 0.596 0.596 0.191
7 Bi 0.809 0.809 0.618

- E_form (uncorrected): -1.060 eV per atom
- SG: I4/mmm, No. 139
- DFT total energy: -7.3268 eV per atom
- D(E_F): 3.4 states/eV per cell


6.
# Pr2HfBi2N2

Pr2HfBi2N2 after structural relaxation (PBE, the Alexandria database).

Lattice parameters (Å, degrees): 4.288 4.288 9.087 103.65 103.65 90.00
Atoms (fractional coordinates):
1 Bi 0.809 0.809 0.617
2 Pr 0.403 0.403 0.807
3 N 0.500 0.000 0.000
4 Bi 0.191 0.191 0.383
5 Hf 0.000 0.000 0.000
6 N 0.000 0.500 0.000
7 Pr 0.597 0.597 0.193

- E_form (uncorrected): -1.048 eV per atom
- SG: I4/mmm, No. 139
- DFT total energy: -7.3229 eV per atom
- D(E_F): 3.4 states/eV per cell


7.
# HfBi2SbN

HfBi2SbN after structural relaxation (PBE, the Alexandria database).

Lattice parameters (Å, degrees): 5.922 3.970 5.922 90.00 90.00 90.00
Atoms (fractional coordinates):
1 Bi 0.000 0.000 0.500
2 Hf 0.000 0.000 0.000
3 Bi 0.500 0.000 0.000
4 N 0.000 0.500 0.000
5 Sb 0.500 0.500 0.500

- E_form (uncorrected): 0.237 eV per atom
- SG: P4/mmm, No. 123
- DFT total energy: -5.7955 eV per atom
- D(E_F): 3.6 states/eV per cell


8.
# Sm2HfBi2N2

Sm2HfBi2N2 after structural relaxation (PBE, the Alexandria database).

Lattice parameters (Å, degrees): 4.248 4.248 8.981 103.68 103.68 90.00
Atoms (fractional coordinates):
1 N 0.000 0.500 0.000
2 Sm 0.595 0.595 0.190
3 N 0.500 0.000 0.000
4 Hf 0.000 0.000 0.000
5 Bi 0.809 0.809 0.619
6 Sm 0.405 0.405 0.810
7 Bi 0.191 0.191 0.381

- E_form (uncorrected): -1.057 eV per atom
- SG: I4/mmm, No. 139
- DFT total energy: -7.3144 eV per atom
- D(E_F): 3.4 states/eV per cell


9.
# HfBiTeN2

HfBiTeN2 after structural relaxation (PBE, the Alexandria database).

Lattice parameters (Å, degrees): 4.323 4.323 5.827 90.00 90.00 90.00
Each line ends with the local moment (μB).
Atoms (fractional coordinates):
1 Hf 0.500 0.500 0.500  -0.28
2 Te 0.000 0.000 0.500  0.01
3 N 0.500 0.000 0.000  0.22
4 Bi 0.000 0.000 0.000  -0.01
5 N 0.000 0.500 0.000  0.22

- E_form (uncorrected): 1.533 eV per atom
- SG: P4/mmm, No. 123
- DFT total energy: -5.1922 eV per atom
- D(E_F): 4.0 states/eV per cell
- Relative energy among the computed polymorphs: 583 kJ/mol of formula units


10.
# HfBiTeN2

HfBiTeN2 after structural relaxation (PBE, the Alexandria database).

Lattice parameters (Å, degrees): 4.190 5.865 4.190 90.00 90.00 90.00
Atoms (fractional coordinates):
1 Bi 0.000 0.500 0.000
2 N 0.000 0.000 0.500
3 Te 0.000 0.000 0.000
4 Hf 0.500 0.500 0.500
5 N 0.500 0.000 0.000

- E_form (uncorrected): 1.529 eV per atom
- SG: P4/mmm, No. 123
- DFT total energy: -5.1964 eV per atom
- D(E_F): 3.5 states/eV per cell
- Relative energy among the computed polymorphs: 581 kJ/mol of formula units


11.
# HfBiTeN2

HfBiTeN2 after structural relaxation (PBE, the Alexandria database).

Lattice parameters (Å, degrees): 4.287 4.287 5.804 90.00 90.00 90.00
Each line ends with the local moment (μB).
Atoms (fractional coordinates):
1 Hf 0.000 0.000 0.000  -0.03
2 Te 0.000 0.000 0.500  0.00
3 N 0.500 0.000 0.000  0.24
4 Bi 0.500 0.500 0.500  -0.08
5 N 0.000 0.500 0.000  0.24

- E_form (uncorrected): 0.325 eV per atom
- SG: P4/mmm, No. 123
- DFT total energy: -6.4005 eV per atom
- D(E_F): 2.5 states/eV per cell
- Relative energy among the computed polymorphs: 0 kJ/mol of formula units


12.
# YHfBi2N

YHfBi2N after structural relaxation (PBE, the Alexandria database).

Lattice parameters (Å, degrees): 5.914 3.978 5.914 90.00 90.00 90.00
Atoms (fractional coordinates):
1 Y 0.500 0.500 0.500
2 N 0.000 0.500 0.000
3 Bi 0.500 0.000 0.000
4 Bi 0.000 0.000 0.500
5 Hf 0.000 0.000 0.000

- E_form (uncorrected): -0.091 eV per atom
- SG: P4/mmm, No. 123
- DFT total energy: -6.5920 eV per atom
- D(E_F): 3.5 states/eV per cell